(1)
First-principles (meta-GGA SCAN) data for Cu2HgOs at its PBEsol-relaxed geometry, as listed in Alexandria.

Cell: 2.775 4.685 8.955 Å, 90.00 90.00 90.00°
Space group Immm (No. 71)
One atom of each set of equivalent atoms:
Cu: 0.000 0.000 0.242 (multiplicity 4)
Hg: 0.000 0.500 0.000 (multiplicity 2)
Os: 0.000 0.500 0.500 (multiplicity 2)

Output
Formation enthalpy at 0 K = 616 meV/atom

(2)
First-principles (meta-GGA SCAN) data for Cu2HgOs at its PBEsol-relaxed geometry, as listed in Alexandria.

Cell: 2.703 2.703 7.801 Å, 90.00 90.00 90.00°
Space group P4/mmm (No. 123)
One atom of each set of equivalent atoms:
Cu: 0.000 0.000 0.230 (multiplicity 2)
Hg: 0.500 0.500 0.500 (multiplicity 1)
Os: 0.500 0.500 0.000 (multiplicity 1)

Output
Formation enthalpy at 0 K = 441 meV/atom

(3)
First-principles (meta-GGA SCAN) data for Cu2HgOs at its PBEsol-relaxed geometry, as listed in Alexandria.

Cell: 3.982 3.982 7.103 Å, 90.00 90.00 90.00°
Space group I4/mmm (No. 139)
One atom of each set of equivalent atoms:
Cu: 0.000 0.500 0.250 (multiplicity 4)
Hg: 0.000 0.000 0.000 (multiplicity 2)
Os: 0.000 0.000 0.500 (multiplicity 2)

Output
Formation enthalpy at 0 K = 657 meV/atom

(4)
First-principles (meta-GGA SCAN) data for CuHg2P at its PBEsol-relaxed geometry, as listed in Alexandria.

Cell: 3.635 3.635 5.394 Å, 90.00 90.00 90.00°
Space group P4/mmm (No. 123)
One atom of each set of equivalent atoms:
Cu: 0.000 0.000 0.000 (multiplicity 1)
Hg: 0.500 0.500 0.247 (multiplicity 2)
P: 0.000 0.000 0.500 (multiplicity 1)

Output
Formation enthalpy at 0 K = 469 meV/atom